# 1
# Ag4Os3 (GGA-PBE, optimized geometry)
data_Ag4Os3
_chemical_formula_sum 'Ag8 Os6'
_symmetry_space_group_name_H-M 'P 1'
_symmetry_Int_Tables_number 1
_cell_length_a 2.777
_cell_length_b 2.777
_cell_length_c 29.621
_cell_angle_alpha 90.00
_cell_angle_beta 90.00
_cell_angle_gamma 90.00
loop_
_symmetry_equiv_pos_as_xyz
'x,y,z'
loop_
_atom_site_label
_atom_site_type_symbol
_atom_site_fract_x
_atom_site_fract_y
_atom_site_fract_z
Ag1 Ag 0.000 0.000 0.072
Ag2 Ag 0.000 0.000 0.352
Ag3 Ag 0.000 0.000 0.648
Ag4 Ag 0.000 0.000 0.928
Ag5 Ag 0.500 0.500 0.148
Ag6 Ag 0.500 0.500 0.428
Ag7 Ag 0.500 0.500 0.572
Ag8 Ag 0.500 0.500 0.852
Os1 Os 0.000 0.000 0.222
Os2 Os 0.000 0.000 0.500
Os3 Os 0.000 0.000 0.778
Os4 Os 0.500 0.500 0.000
Os5 Os 0.500 0.500 0.278
Os6 Os 0.500 0.500 0.722
# DFT formation energy in eV per formula unit: 3.56

***

# 2
# NbSiF2 (GGA-PBE, optimized geometry)
data_NbSiF2
_chemical_formula_sum 'Nb3 Si3 F6'
_symmetry_space_group_name_H-M 'P 1'
_symmetry_Int_Tables_number 1
_cell_length_a 2.743
_cell_length_b 2.743
_cell_length_c 23.881
_cell_angle_alpha 90.00
_cell_angle_beta 90.00
_cell_angle_gamma 120.00
loop_
_symmetry_equiv_pos_as_xyz
'x,y,z'
loop_
_atom_site_label
_atom_site_type_symbol
_atom_site_fract_x
_atom_site_fract_y
_atom_site_fract_z
Nb1 Nb 0.000 0.000 0.000
Nb2 Nb 0.333 0.667 0.667
Nb3 Nb 0.667 0.333 0.333
Si1 Si 0.000 0.000 0.500
Si2 Si 0.333 0.667 0.167
Si3 Si 0.667 0.333 0.833
F1 F 0.000 0.000 0.423
F2 F 0.000 0.000 0.577
F3 F 0.333 0.667 0.090
F4 F 0.333 0.667 0.244
F5 F 0.667 0.333 0.756
F6 F 0.667 0.333 0.910
# ΔE to the lowest computed polymorph in meV per atom: 0
# Energy relative to the elements, uncorrected in eV per atom: -1.09

***

# 3
# Cs2TaIrC (GGA-PBE, optimized geometry)
data_Cs2TaIrC
_chemical_formula_sum 'Cs2 Ta1 Ir1 C1'
_symmetry_space_group_name_H-M 'P 1'
_symmetry_Int_Tables_number 1
_cell_length_a 6.825
_cell_length_b 6.825
_cell_length_c 3.765
_cell_angle_alpha 90.00
_cell_angle_beta 90.00
_cell_angle_gamma 90.00
loop_
_symmetry_equiv_pos_as_xyz
'x,y,z'
loop_
_atom_site_label
_atom_site_type_symbol
_atom_site_fract_x
_atom_site_fract_y
_atom_site_fract_z
Cs1 Cs 0.000 0.500 0.000
Cs2 Cs 0.500 0.000 0.000
Ta1 Ta 0.000 0.000 0.500
Ir1 Ir 0.500 0.500 0.500
C1 C 0.500 0.500 0.000
# DFT formation energy in eV per formula unit: 8.05

***

# 4
# Er4Mg5In2 (GGA-PBE, optimized geometry)
data_Er4Mg5In2
_chemical_formula_sum 'Er4 Mg5 In2'
_symmetry_space_group_name_H-M 'P 1'
_symmetry_Int_Tables_number 1
_cell_length_a 8.027
_cell_length_b 3.485
_cell_length_c 10.401
_cell_angle_alpha 90.00
_cell_angle_beta 94.10
_cell_angle_gamma 90.00
loop_
_symmetry_equiv_pos_as_xyz
'x,y,z'
loop_
_atom_site_label
_atom_site_type_symbol
_atom_site_fract_x
_atom_site_fract_y
_atom_site_fract_z
Er1 Er 0.158 0.000 0.387
Er2 Er 0.278 0.000 0.944
Er3 Er 0.722 0.000 0.056
Er4 Er 0.842 0.000 0.613
Mg1 Mg 0.197 0.500 0.663
Mg2 Mg 0.433 0.500 0.206
Mg3 Mg 0.500 0.500 0.500
Mg4 Mg 0.567 0.500 0.794
Mg5 Mg 0.803 0.500 0.337
In1 In 0.059 0.500 0.138
In2 In 0.941 0.500 0.862
# DFT formation energy in eV per formula unit: -1.55

***

# 5
# VSn3Cl (GGA-PBE, optimized geometry)
data_VSn3Cl
_chemical_formula_sum 'V1 Sn3 Cl1'
_symmetry_space_group_name_H-M 'P 1'
_symmetry_Int_Tables_number 1
_cell_length_a 5.293
_cell_length_b 5.293
_cell_length_c 5.293
_cell_angle_alpha 90.00
_cell_angle_beta 90.00
_cell_angle_gamma 90.00
loop_
_symmetry_equiv_pos_as_xyz
'x,y,z'
loop_
_atom_site_label
_atom_site_type_symbol
_atom_site_fract_x
_atom_site_fract_y
_atom_site_fract_z
V1 V 0.000 0.000 0.000
Sn1 Sn 0.000 0.500 0.500
Sn2 Sn 0.500 0.000 0.500
Sn3 Sn 0.500 0.500 0.000
Cl1 Cl 0.500 0.500 0.500
# ΔE to the lowest computed polymorph in meV per atom: 807
# Energy relative to the elements, uncorrected in eV per atom: 0.82

***

# 6
# HfZr3Br (GGA-PBE, optimized geometry)
data_HfZr3Br
_chemical_formula_sum 'Hf1 Zr3 Br1'
_symmetry_space_group_name_H-M 'P 1'
_symmetry_Int_Tables_number 1
_cell_length_a 5.273
_cell_length_b 5.273
_cell_length_c 5.273
_cell_angle_alpha 90.00
_cell_angle_beta 90.00
_cell_angle_gamma 90.00
loop_
_symmetry_equiv_pos_as_xyz
'x,y,z'
loop_
_atom_site_label
_atom_site_type_symbol
_atom_site_fract_x
_atom_site_fract_y
_atom_site_fract_z
Hf1 Hf 0.000 0.000 0.000
Zr1 Zr 0.000 0.000 0.500
Zr2 Zr 0.000 0.500 0.000
Zr3 Zr 0.500 0.000 0.000
Br1 Br 0.500 0.500 0.500
# ΔE to the lowest computed polymorph in meV per atom: 761
# Energy relative to the elements, uncorrected in eV per atom: 1.09

***

# 7
# ScHg2Mo (GGA-PBE, optimized geometry)
data_ScHg2Mo
_chemical_formula_sum 'Sc3 Hg6 Mo3'
_symmetry_space_group_name_H-M 'P 1'
_symmetry_Int_Tables_number 1
_cell_length_a 3.130
_cell_length_b 3.130
_cell_length_c 28.611
_cell_angle_alpha 90.00
_cell_angle_beta 90.00
_cell_angle_gamma 120.00
loop_
_symmetry_equiv_pos_as_xyz
'x,y,z'
loop_
_atom_site_label
_atom_site_type_symbol
_atom_site_fract_x
_atom_site_fract_y
_atom_site_fract_z
Sc1 Sc 0.000 0.000 0.000
Sc2 Sc 0.333 0.667 0.667
Sc3 Sc 0.667 0.333 0.333
Hg1 Hg 0.000 0.000 0.249
Hg2 Hg 0.000 0.000 0.751
Hg3 Hg 0.333 0.667 0.418
Hg4 Hg 0.333 0.667 0.915
Hg5 Hg 0.667 0.333 0.085
Hg6 Hg 0.667 0.333 0.582
Mo1 Mo 0.000 0.000 0.500
Mo2 Mo 0.333 0.667 0.167
Mo3 Mo 0.667 0.333 0.833
# ΔE to the lowest computed polymorph in meV per atom: 200
# DFT formation energy in eV per formula unit: 1.29

***

# 8
# BiIr (GGA-PBE, optimized geometry)
data_BiIr
_chemical_formula_sum 'Bi8 Ir8'
_symmetry_space_group_name_H-M 'P 1'
_symmetry_Int_Tables_number 1
_cell_length_a 5.914
_cell_length_b 7.457
_cell_length_c 8.613
_cell_angle_alpha 90.00
_cell_angle_beta 90.00
_cell_angle_gamma 90.00
loop_
_symmetry_equiv_pos_as_xyz
'x,y,z'
loop_
_atom_site_label
_atom_site_type_symbol
_atom_site_fract_x
_atom_site_fract_y
_atom_site_fract_z
Bi1 Bi 0.006 0.130 0.146
Bi2 Bi 0.021 0.692 0.892
Bi3 Bi 0.479 0.308 0.392
Bi4 Bi 0.494 0.870 0.646
Bi5 Bi 0.506 0.370 0.854
Bi6 Bi 0.521 0.808 0.108
Bi7 Bi 0.979 0.192 0.608
Bi8 Bi 0.994 0.630 0.354
Ir1 Ir 0.035 0.838 0.608
Ir2 Ir 0.242 0.491 0.613
Ir3 Ir 0.258 0.509 0.113
Ir4 Ir 0.465 0.162 0.108
Ir5 Ir 0.535 0.662 0.392
Ir6 Ir 0.742 0.009 0.387
Ir7 Ir 0.758 0.991 0.887
Ir8 Ir 0.965 0.338 0.892
# DFT formation energy in eV per formula unit: 0.64

***

# 9
# DyCdSn (GGA-PBE, optimized geometry)
data_DyCdSn
_chemical_formula_sum 'Dy2 Cd2 Sn2'
_symmetry_space_group_name_H-M 'P 1'
_symmetry_Int_Tables_number 1
_cell_length_a 3.317
_cell_length_b 3.317
_cell_length_c 16.371
_cell_angle_alpha 90.00
_cell_angle_beta 90.00
_cell_angle_gamma 90.00
loop_
_symmetry_equiv_pos_as_xyz
'x,y,z'
loop_
_atom_site_label
_atom_site_type_symbol
_atom_site_fract_x
_atom_site_fract_y
_atom_site_fract_z
Dy1 Dy 0.000 0.000 0.000
Dy2 Dy 0.500 0.500 0.500
Cd1 Cd 0.000 0.000 0.811
Cd2 Cd 0.500 0.500 0.311
Sn1 Sn 0.000 0.000 0.633
Sn2 Sn 0.500 0.500 0.133
# DFT formation energy in eV per formula unit: -0.05

***

# 10
# AlSiO (GGA-PBE, optimized geometry)
data_AlSiO
_chemical_formula_sum 'Al4 Si4 O4'
_symmetry_space_group_name_H-M 'P 1'
_symmetry_Int_Tables_number 1
_cell_length_a 2.971
_cell_length_b 15.134
_cell_length_c 4.286
_cell_angle_alpha 90.00
_cell_angle_beta 90.00
_cell_angle_gamma 90.00
loop_
_symmetry_equiv_pos_as_xyz
'x,y,z'
loop_
_atom_site_label
_atom_site_type_symbol
_atom_site_fract_x
_atom_site_fract_y
_atom_site_fract_z
Al1 Al 0.000 0.190 0.000
Al2 Al 0.000 0.810 0.500
Al3 Al 0.500 0.310 0.500
Al4 Al 0.500 0.690 0.000
Si1 Si 0.000 0.035 0.143
Si2 Si 0.000 0.965 0.643
Si3 Si 0.500 0.465 0.643
Si4 Si 0.500 0.535 0.143
O1 O 0.000 0.277 0.292
O2 O 0.000 0.723 0.792
O3 O 0.500 0.223 0.792
O4 O 0.500 0.777 0.292
# Energy relative to the elements, uncorrected in eV per atom: -1.46

***

# 11
# Ac2MgPb2 (GGA-PBE, optimized geometry)
data_Ac2MgPb2
_chemical_formula_sum 'Ac4 Mg2 Pb4'
_symmetry_space_group_name_H-M 'P 1'
_symmetry_Int_Tables_number 1
_cell_length_a 8.717
_cell_length_b 8.717
_cell_length_c 8.717
_cell_angle_alpha 130.84
_cell_angle_beta 70.61
_cell_angle_gamma 132.69
loop_
_symmetry_equiv_pos_as_xyz
'x,y,z'
loop_
_atom_site_label
_atom_site_type_symbol
_atom_site_fract_x
_atom_site_fract_y
_atom_site_fract_z
Ac1 Ac 0.140 0.204 0.344
Ac2 Ac 0.360 0.704 0.064
Ac3 Ac 0.640 0.296 0.936
Ac4 Ac 0.860 0.796 0.656
Mg1 Mg 0.250 0.750 0.500
Mg2 Mg 0.750 0.250 0.500
Pb1 Pb 0.119 0.733 0.852
Pb2 Pb 0.381 0.233 0.614
Pb3 Pb 0.619 0.767 0.386
Pb4 Pb 0.881 0.267 0.148
# ΔE to the lowest computed polymorph in meV per atom: 52
# DFT formation energy in eV per formula unit: -2.11

***

# 12
# HfPdO2F (GGA-PBE, optimized geometry)
data_HfPdO2F
_chemical_formula_sum 'Hf1 Pd1 O2 F1'
_symmetry_space_group_name_H-M 'P 1'
_symmetry_Int_Tables_number 1
_cell_length_a 4.106
_cell_length_b 4.106
_cell_length_c 4.108
_cell_angle_alpha 90.00
_cell_angle_beta 90.00
_cell_angle_gamma 90.00
loop_
_symmetry_equiv_pos_as_xyz
'x,y,z'
loop_
_atom_site_label
_atom_site_type_symbol
_atom_site_fract_x
_atom_site_fract_y
_atom_site_fract_z
Hf1 Hf 0.000 0.000 0.000
Pd1 Pd 0.500 0.500 0.500
O1 O 0.000 0.500 0.000
O2 O 0.500 0.000 0.000
F1 F 0.000 0.000 0.500
# Energy relative to the elements, uncorrected in eV per atom: -2.08